A relaxed HoLu2Ga crystal, computed with PBE.

POSCAR file:
```
HoLu2Ga
1.0
4.6434 0.0000 0.0000
0.0000 4.6434 0.0000
0.0000 0.0000 4.6597
Ho Lu Ga
1 2 1
direct
0.0000 0.0000 0.0000 Ho
0.0000 0.5000 0.5000 Lu
0.5000 0.0000 0.5000 Lu
0.5000 0.5000 0.0000 Ga
```

Summary:
ΔE to the lowest computed polymorph ... 50.9 meV per atom
Energy relative to the elements ... -239 meV/atom
Space group ... P4/mmm (123)
Spin magnetization ... 0.00 μB per cell

A relaxed HoLuGa4 crystal, computed with PBE.

POSCAR file:
```
HoLuGa4
1.0
0.0000 3.8644 3.8644
3.8644 0.0000 3.8644
3.8644 3.8644 0.0000
Ho Lu Ga
1 1 4
direct
0.0000 0.0000 0.0000 Ho
0.2500 0.2500 0.2500 Lu
0.1251 0.6250 0.6250 Ga
0.6250 0.1251 0.6250 Ga
0.6250 0.6250 0.1251 Ga
0.6250 0.6250 0.6250 Ga
```

Summary:
Energy relative to the elements ... -517 meV/atom
Space group ... F-43m (216)
Spin magnetization ... 0.00 μB per cell

A relaxed HoLu2Ga crystal, computed with PBE.

POSCAR file:
```
HoLu2Ga
1.0
1.7114 0.9881 11.0918
-1.7114 0.9881 11.0918
0.0000 -1.9762 11.0918
Ho Lu Ga
1 2 1
direct
0.0000 0.0000 0.0000 Ho
0.1016 0.1016 0.1016 Lu
0.8984 0.8984 0.8984 Lu
0.5000 0.5000 0.5000 Ga
```

Summary:
ΔE to the lowest computed polymorph ... 304.4 meV per atom
Energy relative to the elements ... 14 meV/atom
Space group ... R-3m (166)
Spin magnetization ... 0.75 μB per cell

A relaxed HoLuGa crystal, computed with PBE.

POSCAR file:
```
HoLuGa
1.0
4.9191 0.0000 0.0000
-2.4595 4.2600 0.0000
0.0000 0.0000 3.5977
Ho Lu Ga
1 1 1
direct
0.0000 0.0000 0.0000 Ho
0.3333 0.6667 0.5309 Lu
0.6667 0.3333 0.3204 Ga
```

Summary:
ΔE to the lowest computed polymorph ... 117.0 meV per atom
Energy relative to the elements ... -266 meV/atom
Space group ... P3m1 (156)
Spin magnetization ... 0.00 μB per cell

A relaxed HoLuGa crystal, computed with PBE.

POSCAR file:
```
HoLuGa
1.0
0.0000 3.4645 3.4645
3.4645 0.0000 3.4645
3.4645 3.4645 0.0000
Ho Lu Ga
1 1 1
direct
0.0000 0.0000 0.0000 Ho
0.5000 0.5000 0.5000 Lu
0.2500 0.2500 0.2500 Ga
```

Summary:
ΔE to the lowest computed polymorph ... 132.3 meV per atom
Energy relative to the elements ... -251 meV/atom
Space group ... F-43m (216)
Spin magnetization ... 0.00 μB per cell

A relaxed HoLuGa2 crystal, computed with PBE.

POSCAR file:
```
HoLuGa2
1.0
3.5261 0.0000 0.0000
0.0000 3.5261 0.0000
0.0000 0.0000 7.0545
Ho Lu Ga
1 1 2
direct
0.0000 0.0000 0.0000 Ho
0.0000 0.0000 0.5000 Lu
0.5000 0.5000 0.2562 Ga
0.5000 0.5000 0.7438 Ga
```

Summary:
Energy relative to the elements ... -568 meV/atom
Space group ... P4/mmm (123)
Spin magnetization ... 0.00 μB per cell

A relaxed HoLuMnGa crystal, computed with PBE.

POSCAR file:
```
HoLuMnGa
1.0
0.0000 3.5147 3.5147
3.5147 0.0000 3.5147
3.5147 3.5147 0.0000
Ho Lu Mn Ga
1 1 1 1
direct
0.0000 0.0000 0.0000 Ho
0.5000 0.5000 0.5000 Lu
0.7500 0.7500 0.7500 Mn
0.2500 0.2500 0.2500 Ga
```

Summary:
Energy relative to the elements ... -174 meV/atom
Space group ... F-43m (216)
Spin magnetization ... 3.33 μB per cell

A relaxed HoLuGaOs crystal, computed with PBE.

POSCAR file:
```
HoLuGaOs
1.0
0.0000 3.4372 3.4372
3.4372 0.0000 3.4372
3.4372 3.4372 0.0000
Ho Lu Ga Os
1 1 1 1
direct
0.0000 0.0000 0.0000 Ho
0.5000 0.5000 0.5000 Lu
0.7500 0.7500 0.7500 Ga
0.2500 0.2500 0.2500 Os
```

Summary:
Energy relative to the elements ... -403 meV/atom
Space group ... F-43m (216)
Spin magnetization ... 0.00 μB per cell